## Er2MgP3Ir12 (PBE)

Data for a relaxed Er2MgP3Ir12 crystal.

The structure in CIF format:
```
data_Er2MgP3Ir12
_symmetry_space_group_name_H-M 'P 1'
_symmetry_Int_Tables_number 1
_symmetry_space_group_name_Hall 'P 1'
_cell_length_a 6.702
_cell_length_b 6.702
_cell_length_c 6.702
_cell_angle_alpha 83.51
_cell_angle_beta 83.51
_cell_angle_gamma 83.51
loop_
_atom_site_label
_atom_site_fract_x
_atom_site_fract_y
_atom_site_fract_z
Er1 0.129 0.129 0.129
Er2 0.871 0.871 0.871
Mg1 0.500 0.500 0.500
P1 0.000 0.500 0.500
P2 0.500 0.000 0.500
P3 0.500 0.500 0.000
Ir1 0.125 0.125 0.605
Ir2 0.125 0.605 0.125
Ir3 0.172 0.675 0.675
Ir4 0.325 0.325 0.828
Ir5 0.325 0.828 0.325
Ir6 0.395 0.875 0.875
Ir7 0.605 0.125 0.125
Ir8 0.675 0.172 0.675
Ir9 0.675 0.675 0.172
Ir10 0.828 0.325 0.325
Ir11 0.875 0.395 0.875
Ir12 0.875 0.875 0.395
```

## Properties
DOS(E_F): 0.443 states/eV per atom
spin magnetization: 0.00 Bohr magnetons per cell
formation energy: -0.153 eV per atom
space-group type: R-3m (166)